# 1
First-principles (meta-GGA SCAN) data for a PBEsol-optimized structure of AlGaCo2, as listed in Alexandria.

- calculated formation energy (eV/f.u.) = -1.729

Unit cell a=4.000 b=4.000 c=4.000 alpha=60.00 beta=60.00 gamma=60.00
Element x y z (fractional)
Al (0.000, 0.000, 0.000)
Ga (0.500, 0.500, 0.500)
Co (0.250, 0.250, 0.250)
Co (0.750, 0.750, 0.750)



# 2
First-principles (meta-GGA SCAN) data for a PBEsol-optimized structure of AlGaCo2, as listed in Alexandria.

- calculated formation energy (eV/f.u.) = -1.694

Unit cell a=2.834 b=2.834 c=5.638 alpha=90.00 beta=90.00 gamma=90.00
Element x y z (fractional)
Al (0.000, 0.000, 0.000)
Ga (0.000, 0.000, 0.500)
Co (0.500, 0.500, 0.251)
Co (0.500, 0.500, 0.749)



# 3
First-principles (meta-GGA SCAN) data for a PBEsol-optimized structure of AlCoHg2Ge, as listed in Alexandria.

- calculated formation energy (eV/f.u.) = 3.879

Unit cell a=4.964 b=4.964 c=4.412 alpha=90.00 beta=90.00 gamma=90.00
Element x y z (fractional)
Al (0.000, 0.000, 0.000)
Co (0.000, 0.000, 0.500)
Hg (0.000, 0.500, 0.000)
Hg (0.500, 0.000, 0.000)
Ge (0.500, 0.500, 0.500)



# 4
First-principles (meta-GGA SCAN) data for a PBEsol-optimized structure of Na2AlCoGe, as listed in Alexandria.

- calculated formation energy (eV/f.u.) = 4.676

Unit cell a=5.473 b=5.473 c=4.742 alpha=90.00 beta=90.00 gamma=90.00
Element x y z (fractional)
Na (0.000, 0.500, 0.000)
Na (0.500, 0.000, 0.000)
Al (0.000, 0.000, 0.000)
Co (0.500, 0.500, 0.500)
Ge (0.000, 0.000, 0.500)



# 5
First-principles (meta-GGA SCAN) data for a PBEsol-optimized structure of AlCoGeOs2, as listed in Alexandria.

- calculated formation energy (eV/f.u.) = 8.795

Unit cell a=4.406 b=4.406 c=4.454 alpha=90.00 beta=90.00 gamma=90.00
Element x y z (fractional)
Al (0.000, 0.000, 0.000)
Co (0.500, 0.500, 0.500)
Ge (0.000, 0.000, 0.500)
Os (0.000, 0.500, 0.000)
Os (0.500, 0.000, 0.000)



# 6
First-principles (meta-GGA SCAN) data for a PBEsol-optimized structure of Al2CoHIr, as listed in Alexandria.

- VASP energy (eV per atom) = -21.43

Unit cell a=4.532 b=4.532 c=2.913 alpha=90.00 beta=90.00 gamma=90.00
Element x y z (fractional)
Al (0.000, 0.500, 0.000)
Al (0.500, 0.000, 0.000)
Co (0.000, 0.000, 0.000)
H (0.000, 0.000, 0.500)
Ir (0.500, 0.500, 0.500)